This record from the Alexandria database describes crystalline Cu2TeI at its relaxed geometry. The functional is PBE.

Summary:
ρ, g cm⁻³: 5.91
DFT total energy, eV/atom: -3.300
Polymorph energy (0 for the lowest one), meV/atom: 0.0
E_form (uncorrected), eV/atom: -0.0790

CIF file:
```
data_Cu2TeI
_chemical_formula_sum 'Cu2 Te1 I1'
_symmetry_space_group_name_H-M 'P 3 m 1'
_symmetry_Int_Tables_number 156
_cell_length_a 4.1516
_cell_length_b 4.1516
_cell_length_c 7.1858
_cell_angle_alpha 90.00
_cell_angle_beta 90.00
_cell_angle_gamma 120.00
loop_
_symmetry_equiv_pos_as_xyz
'x,y,z'
'-y,x-y,z'
'-x+y,-x,z'
'-y,-x,z'
'-x+y,y,z'
'x,x-y,z'
loop_
_atom_site_label
_atom_site_type_symbol
_atom_site_fract_x
_atom_site_fract_y
_atom_site_fract_z
Cu1 Cu 0.0000 0.0000 0.0000
Cu2 Cu 0.3333 0.6667 0.5286
Te1 Te 0.0000 0.0000 0.6510
I1 I 0.3333 0.6667 0.1542
```